BeCoBPd2 | Alexandria via LeMat-Bulk | GGA-PBE | relaxed; formation energy from the elements = 0.871 eV/atom; energy = -4.708 eV/atom; crystal system = tetragonal; symmetry = P4/mmm (123); DOS(E_F) = 0.97 states/eV per cell
1.0
4.078 0.000 0.000
0.000 4.078 0.000
0.000 0.000 3.850
Be Co B Pd
1 1 1 2
Direct
0.000 0.000 0.000
0.000 0.000 0.500
0.500 0.500 0.500
0.000 0.500 0.000
0.500 0.000 0.000